Record 1
# KMnCuCl6

An optimized crystal structure of KMnCuCl6 (PBE-GGA, the Alexandria database).

E   -34.756 eV for the cell shown
Total magnetic moment   0.557 μB/atom
Space-group type   P1 (1)

Lattice parameters (Å, degrees): 6.2644 6.2859 6.8817 94.06 94.47 111.21
Atoms (fractional coordinates):
K1 0.0000 0.0000 0.0000
Mn1 0.6478 0.3507 0.4996
Cu1 0.3051 0.6919 0.5011
Cl1 0.3435 0.0170 0.6866
Cl2 0.3672 0.4137 0.2936
Cl3 0.5864 0.6280 0.7076
Cl4 0.6378 0.0612 0.2851
Cl5 0.9412 0.3587 0.7121
Cl6 0.9794 0.6586 0.3152


Record 2
# LiScNiSn

An optimized crystal structure of LiScNiSn (PBE-GGA, the Alexandria database).

E   -81.799 eV for the cell shown
Total magnetic moment   0.000 μB/atom
Space-group type   F-43m (216)

Lattice parameters (Å, degrees): 6.3359 6.3359 6.3359 90.00 90.00 90.00
Atoms (fractional coordinates):
Li1 0.0000 0.0000 0.0000
Li2 0.0000 0.5000 0.5000
Li3 0.5000 0.0000 0.5000
Li4 0.5000 0.5000 0.0000
Sc1 0.2500 0.2500 0.7500
Sc2 0.2500 0.7500 0.2500
Sc3 0.7500 0.2500 0.2500
Sc4 0.7500 0.7500 0.7500
Ni1 0.0000 0.0000 0.5000
Ni2 0.0000 0.5000 0.0000
Ni3 0.5000 0.0000 0.0000
Ni4 0.5000 0.5000 0.5000
Sn1 0.2500 0.2500 0.2500
Sn2 0.2500 0.7500 0.7500
Sn3 0.7500 0.2500 0.7500
Sn4 0.7500 0.7500 0.2500


Question: The lowest total magnetic moment belongs to which entry?
Answer: LiScNiSn


Question: Look up the total magnetic moment of the first one.
Answer: 0.557 μB/atom


Question: Which value of total magnetic moment does entry 1 give?
Answer: 0.557 μB/atom